Entry 1:
A relaxed CaHgSe2N crystal, computed with PBE-GGA.

Output
**Raw formation energy**: 290 meV per atom
**Polymorph energy (0 for the lowest one)**: 0 meV/atom

a b c (Å): 5.420 5.420 4.195
angles (deg): 90.00 90.00 90.00
Fractional coordinates of all 5 atoms:
Ca: 0.000 0.000 0.000
Hg: 0.500 0.500 0.500
Se: 0.000 0.500 0.500
Se: 0.500 0.000 0.500
N: 0.500 0.500 0.000

Entry 2:
A relaxed ZnOs3W crystal, computed with PBE-GGA.

Output
**Polymorph energy (0 for the lowest one)**: 245 meV/atom
**E_form**: 2.24 eV/atom

a b c (Å): 4.722 4.722 4.722
angles (deg): 90.00 90.00 90.00
Fractional coordinates of all 5 atoms:
Zn: 0.000 0.000 0.000
Os: 0.000 0.500 0.500
Os: 0.500 0.000 0.500
Os: 0.500 0.500 0.000
W: 0.500 0.500 0.500

Entry 3:
A relaxed Ta2MoW crystal, computed with PBE-GGA.

Output
**E_form**: -0.12 eV/atom

a b c (Å): 3.220 3.220 6.539
angles (deg): 90.00 90.00 90.00
Fractional coordinates of all 4 atoms:
Ta: 0.000 0.000 0.000
Ta: 0.500 0.500 0.263
Mo: 0.500 0.500 0.751
W: 0.000 0.000 0.514

Entry 4:
A relaxed La2ScCl crystal, computed with PBE-GGA.

Output
**Raw formation energy**: -563 meV per atom
**Polymorph energy (0 for the lowest one)**: 68 meV/atom

a b c (Å): 3.519 3.519 9.437
angles (deg): 90.00 90.00 90.00
Fractional coordinates of all 4 atoms:
La: 0.000 0.000 0.230
La: 0.000 0.000 0.770
Sc: 0.500 0.500 0.500
Cl: 0.500 0.500 0.000

Entry 5:
A relaxed RbLiNpBr5 crystal, computed with PBE-GGA.

Output
**Raw formation energy**: -1487 meV per atom

a b c (Å): 8.071 8.071 10.776
angles (deg): 103.35 103.35 107.54
Fractional coordinates of all 16 atoms:
Rb: 0.149 0.851 0.750
Rb: 0.851 0.149 0.250
Li: 0.193 0.807 0.250
Li: 0.807 0.193 0.750
Np: 0.500 0.500 0.000
Np: 0.500 0.500 0.500
Br: 0.121 0.261 0.925
Br: 0.190 0.593 0.392
Br: 0.261 0.121 0.425
Br: 0.407 0.810 0.108
Br: 0.416 0.584 0.750
Br: 0.584 0.416 0.250
Br: 0.593 0.190 0.892
Br: 0.739 0.879 0.575
Br: 0.810 0.407 0.608
Br: 0.879 0.739 0.075

Entry 6:
A relaxed Nd4Au2O crystal, computed with PBE-GGA.

Output
**Raw formation energy**: -1212 meV per atom
**Polymorph energy (0 for the lowest one)**: 2 meV/atom

a b c (Å): 7.005 7.261 7.954
angles (deg): 90.00 106.15 90.00
Fractional coordinates of all 14 atoms:
Nd: 0.007 0.008 0.250
Nd: 0.007 0.492 0.250
Nd: 0.417 0.250 0.597
Nd: 0.438 0.250 0.120
Nd: 0.562 0.750 0.880
Nd: 0.583 0.750 0.403
Nd: 0.993 0.508 0.750
Nd: 0.993 0.992 0.750
Au: 0.222 0.750 0.548
Au: 0.234 0.750 0.065
Au: 0.766 0.250 0.935
Au: 0.778 0.250 0.452
O: 0.238 0.250 0.307
O: 0.762 0.750 0.693

Entry 7:
A relaxed PdWC2S crystal, computed with PBE-GGA.

Output
**Raw formation energy**: 2431 meV per atom

a b c (Å): 3.789 3.789 4.438
angles (deg): 90.00 90.00 90.00
Fractional coordinates of all 5 atoms:
Pd: 0.000 0.000 0.000
W: 0.500 0.500 0.000
C: 0.000 0.500 0.500
C: 0.500 0.000 0.500
S: 0.000 0.000 0.500

Entry 8:
A relaxed Li4ThBi2 crystal, computed with PBE-GGA.

Output
**E_form**: -0.45 eV/atom

a b c (Å): 8.399 8.399 4.499
angles (deg): 90.00 90.00 90.00
Fractional coordinates of all 14 atoms:
Li: 0.097 0.339 0.000
Li: 0.161 0.597 0.500
Li: 0.339 0.097 0.000
Li: 0.403 0.839 0.500
Li: 0.597 0.161 0.500
Li: 0.661 0.903 0.000
Li: 0.839 0.403 0.500
Li: 0.903 0.661 0.000
Th: 0.000 0.000 0.500
Th: 0.500 0.500 0.000
Bi: 0.212 0.788 0.000
Bi: 0.288 0.288 0.500
Bi: 0.712 0.712 0.500
Bi: 0.788 0.212 0.000

Asked for spin magnetization across the records above, the calculation gives 1.96 0.00 0.00 0.00 4.00 0.00 0.00 0.00 μB/f.u. in order.
Asked for energy across the records above, the calculation gives -3.2300 -7.3439 -11.9905 -5.0717 -4.5101 -5.5814 -5.7135 -3.7149 eV per atom in order.